Compound: KB
Source: Alexandria via LeMat-Bulk
Functional: PBE
Structure: relaxed

Cell lengths 6.7562, 6.7562, 5.8597 Å; angles 90.00, 90.00, 90.00 degrees
Last column: nearest neighbours and their distance in Å.
Sites, in units of the cell vectors:
1 K 0.1907 0.1907 0.0000  4 B 3.06-3.11
2 K 0.3093 0.6907 0.5000  4 B 3.06-3.11
3 K 0.6907 0.3093 0.5000  4 B 3.06-3.11
4 K 0.8093 0.8093 0.0000  4 B 3.06-3.11
5 B 0.0826 0.0826 0.5000  1 B 1.58
6 B 0.4174 0.5826 0.0000  1 B 1.58
7 B 0.5826 0.4174 0.0000  1 B 1.58
8 B 0.9174 0.9174 0.5000  1 B 1.58

Electronic total energy ... -5.51 eV per formula unit
Formation energy from the elements ... 218.6 kJ/mol of formula units
Crystal system ... tetragonal

=====

Compound: PmMnAgSn
Source: Alexandria via LeMat-Bulk
Functional: PBE
Structure: relaxed

Cell lengths 7.0192, 7.0192, 7.0192 Å; angles 90.00, 90.00, 90.00 degrees
Last column: nearest neighbours and their distance in Å.
Sites, in units of the cell vectors:
1 Pm 0.0000 0.0000 0.0000  4 Mn 3.04, 4 Ag 3.04
2 Pm 0.0000 0.5000 0.5000  4 Mn 3.04, 4 Ag 3.04
3 Pm 0.5000 0.0000 0.5000  4 Mn 3.04, 4 Ag 3.04
4 Pm 0.5000 0.5000 0.0000  4 Mn 3.04, 4 Ag 3.04
5 Mn 0.2500 0.2500 0.7500  4 Sn 3.04, 4 Pm 3.04
6 Mn 0.2500 0.7500 0.2500  4 Sn 3.04, 4 Pm 3.04
7 Mn 0.7500 0.2500 0.2500  4 Sn 3.04, 4 Pm 3.04
8 Mn 0.7500 0.7500 0.7500  4 Sn 3.04, 4 Pm 3.04
9 Ag 0.2500 0.2500 0.2500  4 Sn 3.04, 4 Pm 3.04
10 Ag 0.2500 0.7500 0.7500  4 Sn 3.04, 4 Pm 3.04
11 Ag 0.7500 0.2500 0.7500  4 Sn 3.04, 4 Pm 3.04
12 Ag 0.7500 0.7500 0.2500  4 Sn 3.04, 4 Pm 3.04
13 Sn 0.0000 0.0000 0.5000  4 Mn 3.04, 4 Ag 3.04
14 Sn 0.0000 0.5000 0.0000  4 Mn 3.04, 4 Ag 3.04
15 Sn 0.5000 0.0000 0.0000  4 Mn 3.04, 4 Ag 3.04
16 Sn 0.5000 0.5000 0.5000  4 Mn 3.04, 4 Ag 3.04

Electronic total energy ... -20.97 eV per formula unit
Formation energy from the elements ... -19.2 kJ/mol of formula units
Crystal system ... cubic

=====

Compound: Mg2ZrAl
Source: Alexandria via LeMat-Bulk
Functional: PBE
Structure: relaxed

Cell lengths 3.6690, 4.6835, 9.6792 Å; angles 90.00, 90.00, 90.00 degrees
Last column: nearest neighbours and their distance in Å.
Sites, in units of the cell vectors:
1 Mg 0.0000 0.0000 0.0000  4 Al 2.97, 4 Mg 3.12-3.30, 4 Zr 3.13-3.29
2 Mg 0.0000 0.5000 0.2397  2 Al 2.94, 4 Zr 2.98, 2 Mg 3.12
3 Mg 0.5000 0.0000 0.7397  2 Al 2.94, 4 Zr 2.98, 2 Mg 3.12
4 Mg 0.5000 0.5000 0.5000  4 Al 2.97, 4 Mg 3.12-3.30, 4 Zr 3.13-3.29
5 Zr 0.0000 0.5000 0.7617  2 Al 2.97, 8 Mg 2.98-3.29
6 Zr 0.5000 0.0000 0.2617  2 Al 2.97, 8 Mg 2.98-3.29
7 Al 0.0000 0.0000 0.5027  6 Mg 2.94-2.97, 2 Zr 2.97
8 Al 0.5000 0.5000 0.0027  6 Mg 2.94-2.97, 2 Zr 2.97

Electronic total energy ... -15.38 eV per formula unit
Formation energy from the elements ... 9.8 kJ/mol of formula units
Crystal system ... orthorhombic

=====

Compound: Pr6Ir2Se3S
Source: Alexandria via LeMat-Bulk
Functional: PBE
Structure: relaxed

Cell lengths 9.6187, 9.6187, 8.6873 Å; angles 105.39, 105.39, 25.06 degrees
Last column: nearest neighbours and their distance in Å.
Sites, in units of the cell vectors:
1 Pr 0.0089 0.0089 0.2484  1 Ir 2.86, 2 S 2.97, 3 Se 3.06-3.07
2 Pr 0.3287 0.3287 0.4264  3 Ir 2.92, 3 Se 3.11-3.17
3 Pr 0.3325 0.3325 0.8915  2 Ir 2.87, 1 S 3.03, 3 Se 3.10-3.13
4 Pr 0.6675 0.6675 0.1085  2 Ir 2.87, 1 S 3.03, 3 Se 3.10-3.13
5 Pr 0.6713 0.6713 0.5736  3 Ir 2.92, 3 Se 3.11-3.17
6 Pr 0.9911 0.9911 0.7516  1 Ir 2.86, 2 S 2.97, 3 Se 3.06-3.07
7 Ir 0.1668 0.1668 0.3354  6 Pr 2.86-2.92
8 Ir 0.8332 0.8332 0.6646  6 Pr 2.86-2.92
9 Se 0.1610 0.1610 0.8408  6 Pr 3.07-3.17
10 Se 0.5000 0.5000 0.5000  6 Pr 3.06-3.11
11 Se 0.8390 0.8390 0.1592  6 Pr 3.07-3.17
12 S 0.5000 0.5000 0.0000  6 Pr 2.97-3.03

Electronic total energy ... -78.38 eV per formula unit
Crystal system ... monoclinic
ΔE_f (raw) ... -1450.1 meV/atom

=====

Compound: Hf2Nb2Ge
Source: Alexandria via LeMat-Bulk
Functional: PBE
Structure: relaxed

Cell lengths 6.8792, 6.8792, 4.2705 Å; angles 90.00, 90.00, 90.00 degrees
Last column: nearest neighbours and their distance in Å.
Sites, in units of the cell vectors:
1 Hf 0.1692 0.3308 0.0000  6 Nb 2.84-3.01
2 Hf 0.3308 0.8308 0.0000  6 Nb 2.84-3.01
3 Hf 0.6692 0.1692 0.0000  6 Nb 2.84-3.01
4 Hf 0.8308 0.6692 0.0000  6 Nb 2.84-3.01
5 Nb 0.1382 0.6382 0.5000  2 Ge 2.66, 1 Nb 2.69, 2 Hf 2.84
6 Nb 0.3618 0.1382 0.5000  2 Ge 2.66, 1 Nb 2.69, 2 Hf 2.84
7 Nb 0.6382 0.8618 0.5000  2 Ge 2.66, 1 Nb 2.69, 2 Hf 2.84
8 Nb 0.8618 0.3618 0.5000  2 Ge 2.66, 1 Nb 2.69, 2 Hf 2.84
9 Ge 0.0000 0.0000 0.5000  4 Nb 2.66
10 Ge 0.5000 0.5000 0.5000  4 Nb 2.66

Electronic total energy ... -44.59 eV per formula unit
Formation energy from the elements ... 7.0 kJ/mol of formula units
Crystal system ... tetragonal

=====

Compound: MgPAuCl2
Source: Alexandria via LeMat-Bulk
Functional: PBE
Structure: relaxed

Cell lengths 4.4956, 4.4956, 6.8932 Å; angles 90.00, 90.00, 90.00 degrees
Last column: nearest neighbours and their distance in Å.
Sites, in units of the cell vectors:
1 Mg 0.0000 0.0000 0.0000  4 Cl 2.25
2 P 0.0000 0.0000 0.5000  4 Au 3.18, 2 Mg 3.45
3 Au 0.5000 0.5000 0.5000  4 P 3.18
4 Cl 0.0000 0.5000 0.0000  2 Mg 2.25
5 Cl 0.5000 0.0000 0.0000  2 Mg 2.25

Electronic total energy ... -14.27 eV per formula unit
Crystal system ... tetragonal
ΔE_f (raw) ... -58.6 meV/atom

=====

Compound: Rh2PbW
Source: Alexandria via LeMat-Bulk
Functional: PBE
Structure: relaxed

Cell lengths 2.9178, 4.6818, 4.9070 Å; angles 90.00, 90.25, 90.00 degrees
Last column: nearest neighbours and their distance in Å.
Sites, in units of the cell vectors:
1 Rh 0.0000 0.0000 0.0000  4 Pb 2.82-2.90, 4 W 2.83-2.84, 4 Rh 2.88-2.92
2 Rh 0.0072 0.5000 0.3404  4 W 2.75-2.98, 4 Pb 2.85-2.86, 4 Rh 2.88-2.92
3 Pb 0.5040 0.0000 0.4912  8 Rh 2.82-2.90, 2 Pb 2.92, 2 W 2.98
4 W 0.5031 0.5000 0.8661  8 Rh 2.75-2.98, 2 W 2.92, 2 Pb 2.98

Electronic total energy ... -30.28 eV per formula unit
Formation energy from the elements ... 104.7 kJ/mol of formula units
Crystal system ... monoclinic

=====

Compound: Mg3CdMo
Source: Alexandria via LeMat-Bulk
Functional: PBE
Structure: relaxed

Cell lengths 5.2684, 5.2684, 5.2684 Å; angles 90.00, 90.00, 90.00 degrees
Last column: nearest neighbours and their distance in Å.
Sites, in units of the cell vectors:
1 Mg 0.0000 0.0000 0.5000  2 Mo 2.63
2 Mg 0.0000 0.5000 0.0000  2 Mo 2.63
3 Mg 0.5000 0.0000 0.0000  2 Mo 2.63
4 Cd 0.5000 0.5000 0.5000  12 Mg 3.73
5 Mo 0.0000 0.0000 0.0000  6 Mg 2.63

Electronic total energy ... -11.44 eV per formula unit
Formation energy from the elements ... 491.5 kJ/mol of formula units
Crystal system ... cubic

=====

Compound: MgFeHg
Source: Alexandria via LeMat-Bulk
Functional: PBE
Structure: relaxed

Cell lengths 6.2913, 6.2913, 6.2913 Å; angles 90.00, 90.00, 90.00 degrees
Last column: nearest neighbours and their distance in Å.
Sites, in units of the cell vectors:
1 Mg 0.0000 0.0000 0.0000  4 Fe 2.72
2 Mg 0.0000 0.5000 0.5000  4 Fe 2.72
3 Mg 0.5000 0.0000 0.5000  4 Fe 2.72
4 Mg 0.5000 0.5000 0.0000  4 Fe 2.72
5 Fe 0.2500 0.2500 0.2500  4 Hg 2.72, 4 Mg 2.72
6 Fe 0.2500 0.7500 0.7500  4 Hg 2.72, 4 Mg 2.72
7 Fe 0.7500 0.2500 0.7500  4 Hg 2.72, 4 Mg 2.72
8 Fe 0.7500 0.7500 0.2500  4 Hg 2.72, 4 Mg 2.72
9 Hg 0.0000 0.0000 0.5000  4 Fe 2.72
10 Hg 0.0000 0.5000 0.0000  4 Fe 2.72
11 Hg 0.5000 0.0000 0.0000  4 Fe 2.72
12 Hg 0.5000 0.5000 0.5000  4 Fe 2.72

Electronic total energy ... -9.02 eV per formula unit
Formation energy from the elements ... 129.6 kJ/mol of formula units
Crystal system ... cubic

=====

Compound: Pr11Cd9Ir4
Source: Alexandria via LeMat-Bulk
Functional: PBE
Structure: relaxed

Cell lengths 13.4383, 13.4383, 3.8791 Å; angles 90.00, 90.00, 112.71 degrees
Last column: nearest neighbours and their distance in Å.
Sites, in units of the cell vectors:
1 Pr 0.0000 0.0000 0.0000  8 Cd 3.30, 2 Pr 3.63
2 Pr 0.0805 0.4158 0.0000  2 Ir 2.89
3 Pr 0.1623 0.8377 0.0000  8 Cd 3.34-3.54, 3 Pr 3.63-3.70
4 Pr 0.3086 0.3086 0.0000  4 Ir 3.04
5 Pr 0.3732 0.6268 0.0000  4 Ir 3.01
6 Pr 0.4158 0.0805 0.0000  2 Ir 2.89
7 Pr 0.5842 0.9195 0.0000  2 Ir 2.89
8 Pr 0.6268 0.3732 0.0000  4 Ir 3.01
9 Pr 0.6914 0.6914 0.0000  4 Ir 3.04
10 Pr 0.8377 0.1623 0.0000  8 Cd 3.34-3.54, 3 Pr 3.63-3.70
11 Pr 0.9195 0.5842 0.0000  2 Ir 2.89
12 Cd 0.0734 0.2148 0.5000  1 Ir 3.15, 1 Cd 3.16, 6 Pr 3.30-3.50
13 Cd 0.1587 0.6343 0.5000  1 Cd 3.08, 1 Ir 3.14, 4 Pr 3.33-3.34
14 Cd 0.2148 0.0734 0.5000  1 Ir 3.15, 1 Cd 3.16, 6 Pr 3.30-3.50
15 Cd 0.3657 0.8413 0.5000  1 Cd 3.08, 1 Ir 3.14, 4 Pr 3.33-3.34
16 Cd 0.5000 0.5000 0.5000  4 Ir 3.17, 8 Pr 3.44-3.45
17 Cd 0.6343 0.1587 0.5000  1 Cd 3.08, 1 Ir 3.14, 4 Pr 3.33-3.34
18 Cd 0.7852 0.9266 0.5000  1 Ir 3.15, 1 Cd 3.16, 6 Pr 3.30-3.50
19 Cd 0.8413 0.3657 0.5000  1 Cd 3.08, 1 Ir 3.14, 4 Pr 3.33-3.34
20 Cd 0.9266 0.7852 0.5000  1 Ir 3.15, 1 Cd 3.16, 6 Pr 3.30-3.50
21 Ir 0.2498 0.4511 0.5000  6 Pr 2.89-3.04, 3 Cd 3.14-3.17
22 Ir 0.4511 0.2498 0.5000  6 Pr 2.89-3.04, 3 Cd 3.14-3.17
23 Ir 0.5489 0.7502 0.5000  6 Pr 2.89-3.04, 3 Cd 3.14-3.17
24 Ir 0.7502 0.5489 0.5000  6 Pr 2.89-3.04, 3 Cd 3.14-3.17

Electronic total energy ... -107.26 eV per formula unit
Formation energy from the elements ... -1061.4 kJ/mol of formula units
Crystal system ... orthorhombic

=====

- Which value of electronic total energy does entry 10 give?
  -107.26 eV per formula unit

=====

- Among the records above, which one has the highest electronic total energy?
  KB

=====

- Look up the electronic total energy of the third one.
  -15.38 eV per formula unit